Al2CoO4 | the Alexandria database | PBE+U | optimized geometry; energy = -7.0584 eV/atom; ΔE to the lowest computed polymorph = 70 meV/atom
1.0
4.9959 -2.8911 0.0000
4.9959 2.8911 0.0000
-0.1708 0.0000 28.2977
Al Co O
24 12 48
direct
0.0000 0.0000 0.0000 Al
0.0010 0.5011 0.4395 Al
0.0047 0.0047 0.6897 Al
0.1644 0.1644 0.1063 Al
0.1635 0.6583 0.1065 Al
0.1699 0.1699 0.6066 Al
0.1699 0.6692 0.6066 Al
0.3326 0.8318 0.2725 Al
0.3354 0.3354 0.5230 Al
0.3363 0.8424 0.7739 Al
0.3390 0.3390 0.8356 Al
0.5011 0.0010 0.4395 Al
0.5010 0.5010 0.4395 Al
0.5036 0.5036 0.9400 Al
0.5035 0.9941 0.9401 Al
0.6583 0.1635 0.1065 Al
0.6666 0.6666 0.3561 Al
0.6692 0.1699 0.6066 Al
0.8318 0.3326 0.2725 Al
0.8321 0.8321 0.2726 Al
0.8406 0.8406 0.7740 Al
0.8424 0.3363 0.7739 Al
0.9941 0.5035 0.9401 Al
0.9973 0.9973 0.1892 Al
0.0004 0.0004 0.3769 Co
0.0001 0.0001 0.8791 Co
0.0017 0.0017 0.5024 Co
0.3307 0.3307 0.0245 Co
0.3312 0.3312 0.2110 Co
0.3329 0.3329 0.3351 Co
0.3394 0.3394 0.7111 Co
0.6623 0.6623 0.0458 Co
0.6636 0.6636 0.1671 Co
0.6690 0.6690 0.5438 Co
0.6688 0.6688 0.8575 Co
0.6703 0.6703 0.6704 Co
0.9997 0.9997 0.3073 O
0.0023 0.0023 0.5724 O
0.0041 0.5081 0.8108 O
0.0066 0.0066 0.8085 O
0.0211 0.4823 0.0712 O
0.0411 0.4829 0.5674 O
0.1454 0.7038 0.2336 O
0.1457 0.1457 0.2335 O
0.1521 0.1521 0.7336 O
0.1526 0.7119 0.7339 O
0.1718 0.6578 0.9764 O
0.1749 0.1749 0.9779 O
0.1873 0.1873 0.4790 O
0.1878 0.6296 0.4791 O
0.2868 0.8508 0.1447 O
0.2996 0.8558 0.6461 O
0.3300 0.3300 0.1422 O
0.3337 0.3337 0.4052 O
0.3341 0.3341 0.9013 O
0.3369 0.3369 0.6413 O
0.3606 0.8201 0.9037 O
0.3725 0.8143 0.4004 O
0.4791 0.4791 0.0700 O
0.4823 0.0211 0.0712 O
0.4829 0.0411 0.5674 O
0.4833 0.4833 0.5675 O
0.5081 0.0041 0.8108 O
0.5097 0.5097 0.8121 O
0.5187 0.5187 0.3120 O
0.5191 0.9604 0.3121 O
0.6296 0.1878 0.4791 O
0.6578 0.1718 0.9764 O
0.6649 0.6649 0.2378 O
0.6683 0.6683 0.4742 O
0.6677 0.6677 0.9757 O
0.6717 0.6717 0.7418 O
0.7038 0.1454 0.2336 O
0.7119 0.1526 0.7339 O
0.8143 0.3725 0.4004 O
0.8147 0.8147 0.4005 O
0.8163 0.8163 0.9025 O
0.8201 0.3606 0.9037 O
0.8508 0.2868 0.1447 O
0.8515 0.8515 0.1449 O
0.8558 0.2996 0.6461 O
0.8556 0.8556 0.6462 O
0.9604 0.5191 0.3121 O
0.9964 0.9964 0.0649 O